[1]
# Y2NpIn3Se6, relaxed, DFT PBE
# - calculated volume (Å³/f.u.) = 349.5
# - total energy (eV per atom) = -5.717
# - SG = C2/m, No. 12
# - raw formation energy (kJ/mol of formula units) = -1314
data_Y2NpIn3Se6
_chemical_formula_sum 'Y2 Np1 In3 Se6'
_cell_length_a 7.228
_cell_length_b 7.228
_cell_length_c 8.092
_cell_angle_alpha 98.57
_cell_angle_beta 98.57
_cell_angle_gamma 119.99
_space_group_name_H-M_alt 'P 1'
_space_group_IT_number 1
loop_
_space_group_symop_operation_xyz
'x,y,z'
loop_
_atom_site_label
_atom_site_fract_x
_atom_site_fract_y
_atom_site_fract_z
_atom_site_occupancy
Y1 0.167 0.833 0.000 1
Y2 0.833 0.167 0.000 1
Np1 0.500 0.500 0.000 1
In1 0.000 0.000 0.500 1
In2 0.334 0.666 0.500 1
In3 0.666 0.334 0.500 1
Se1 0.094 0.430 0.791 1
Se2 0.233 0.233 0.209 1
Se3 0.430 0.094 0.791 1
Se4 0.570 0.906 0.209 1
Se5 0.767 0.767 0.791 1
Se6 0.906 0.570 0.209 1



[2]
# NpInSi, relaxed, DFT PBE
# - calculated volume (Å³/f.u.) = 60.5
# - total energy (eV per atom) = -7.094
# - SG = Cmcm, No. 63
# - raw formation energy (kJ/mol of formula units) = -17
data_NpInSi
_chemical_formula_sum 'Np2 In2 Si2'
_cell_length_a 7.338
_cell_length_b 7.338
_cell_length_c 3.678
_cell_angle_alpha 90.00
_cell_angle_beta 90.00
_cell_angle_gamma 142.37
_space_group_name_H-M_alt 'P 1'
_space_group_IT_number 1
loop_
_space_group_symop_operation_xyz
'x,y,z'
loop_
_atom_site_label
_atom_site_fract_x
_atom_site_fract_y
_atom_site_fract_z
_atom_site_occupancy
Np1 0.057 0.943 0.750 1
Np2 0.943 0.057 0.250 1
In1 0.267 0.733 0.250 1
In2 0.733 0.267 0.750 1
Si1 0.437 0.563 0.750 1
Si2 0.563 0.437 0.250 1



[3]
# SmNpIn, relaxed, DFT PBE
# - energy of formation (eV per atom) = -0.064
# - calculated volume (Å³/f.u.) = 79.1
# - total energy (eV per atom) = -6.864
# - SG = C2/m, No. 12
data_SmNpIn
_chemical_formula_sum 'Sm2 Np2 In2'
_cell_length_a 8.600
_cell_length_b 8.600
_cell_length_c 5.451
_cell_angle_alpha 103.59
_cell_angle_beta 103.59
_cell_angle_gamma 23.86
_space_group_name_H-M_alt 'P 1'
_space_group_IT_number 1
loop_
_space_group_symop_operation_xyz
'x,y,z'
loop_
_atom_site_label
_atom_site_fract_x
_atom_site_fract_y
_atom_site_fract_z
_atom_site_occupancy
Sm1 0.095 0.095 0.259 1
Sm2 0.905 0.905 0.741 1
Np1 0.241 0.241 0.845 1
Np2 0.759 0.759 0.155 1
In1 0.424 0.424 0.252 1
In2 0.576 0.576 0.748 1



[4]
# SmNpIn6, relaxed, DFT PBE
# - energy of formation (eV per atom) = -0.233
# - calculated volume (Å³/f.u.) = 202.4
# - total energy (eV per atom) = -4.494
# - SG = P4/mmm, No. 123
data_SmNpIn6
_chemical_formula_sum 'Sm1 Np1 In6'
_cell_length_a 4.653
_cell_length_b 4.653
_cell_length_c 9.346
_cell_angle_alpha 90.00
_cell_angle_beta 90.00
_cell_angle_gamma 90.00
_space_group_name_H-M_alt 'P 1'
_space_group_IT_number 1
loop_
_space_group_symop_operation_xyz
'x,y,z'
loop_
_atom_site_label
_atom_site_fract_x
_atom_site_fract_y
_atom_site_fract_z
_atom_site_occupancy
Sm1 0.000 0.000 0.000 1
Np1 0.000 0.000 0.500 1
In1 0.000 0.500 0.253 1
In2 0.000 0.500 0.747 1
In3 0.500 0.000 0.253 1
In4 0.500 0.000 0.747 1
In5 0.500 0.500 0.000 1
In6 0.500 0.500 0.500 1



[5]
# Sm2NpIn3Te6, relaxed, DFT PBE
# - calculated volume (Å³/f.u.) = 421.4
# - total energy (eV per atom) = -4.933
# - SG = C2/m, No. 12
# - raw formation energy (kJ/mol of formula units) = -941
data_Sm2NpIn3Te6
_chemical_formula_sum 'Sm2 Np1 In3 Te6'
_cell_length_a 7.750
_cell_length_b 7.750
_cell_length_c 8.504
_cell_angle_alpha 98.74
_cell_angle_beta 98.74
_cell_angle_gamma 120.01
_space_group_name_H-M_alt 'P 1'
_space_group_IT_number 1
loop_
_space_group_symop_operation_xyz
'x,y,z'
loop_
_atom_site_label
_atom_site_fract_x
_atom_site_fract_y
_atom_site_fract_z
_atom_site_occupancy
Sm1 0.167 0.833 0.000 1
Sm2 0.833 0.167 0.000 1
Np1 0.500 0.500 0.000 1
In1 0.000 0.000 0.500 1
In2 0.333 0.667 0.500 1
In3 0.667 0.333 0.500 1
Te1 0.093 0.426 0.777 1
Te2 0.242 0.242 0.224 1
Te3 0.426 0.093 0.777 1
Te4 0.574 0.907 0.223 1
Te5 0.758 0.758 0.776 1
Te6 0.907 0.574 0.223 1



[6]
# SmNp3In3Te8, relaxed, DFT PBE
# - calculated volume (Å³/f.u.) = 547.5
# - total energy (eV per atom) = -5.761
# - SG = R-3m, No. 166
# - raw formation energy (kJ/mol of formula units) = -919
data_SmNp3In3Te8
_chemical_formula_sum 'Sm1 Np3 In3 Te8'
_cell_length_a 9.583
_cell_length_b 9.583
_cell_length_c 9.583
_cell_angle_alpha 54.85
_cell_angle_beta 54.85
_cell_angle_gamma 54.85
_space_group_name_H-M_alt 'P 1'
_space_group_IT_number 1
loop_
_space_group_symop_operation_xyz
'x,y,z'
loop_
_atom_site_label
_atom_site_fract_x
_atom_site_fract_y
_atom_site_fract_z
_atom_site_occupancy
Sm1 0.000 0.000 0.000 1
Np1 0.000 0.500 0.500 1
Np2 0.500 0.000 0.500 1
Np3 0.500 0.500 0.000 1
In1 0.000 0.000 0.500 1
In2 0.000 0.500 0.000 1
In3 0.500 0.000 0.000 1
Te1 0.243 0.243 0.735 1
Te2 0.243 0.735 0.243 1
Te3 0.260 0.260 0.260 1
Te4 0.265 0.757 0.757 1
Te5 0.735 0.243 0.243 1
Te6 0.740 0.740 0.740 1
Te7 0.757 0.265 0.757 1
Te8 0.757 0.757 0.265 1



[7]
# SmNpIn2Te4, relaxed, DFT PBE
# - calculated volume (Å³/f.u.) = 280.1
# - total energy (eV per atom) = -5.190
# - SG = P2/m, No. 10
# - raw formation energy (kJ/mol of formula units) = -562
data_SmNpIn2Te4
_chemical_formula_sum 'Sm1 Np1 In2 Te4'
_cell_length_a 7.745
_cell_length_b 4.454
_cell_length_c 8.517
_cell_angle_alpha 90.00
_cell_angle_beta 107.57
_cell_angle_gamma 90.00
_space_group_name_H-M_alt 'P 1'
_space_group_IT_number 1
loop_
_space_group_symop_operation_xyz
'x,y,z'
loop_
_atom_site_label
_atom_site_fract_x
_atom_site_fract_y
_atom_site_fract_z
_atom_site_occupancy
Sm1 0.000 0.000 0.000 1
Np1 0.500 0.500 0.000 1
In1 0.000 0.500 0.500 1
In2 0.500 0.000 0.500 1
Te1 0.242 0.500 0.224 1
Te2 0.261 0.000 0.779 1
Te3 0.739 0.000 0.221 1
Te4 0.758 0.500 0.776 1



[8]
# Np2In8Sn, relaxed, DFT PBE
# - energy of formation (eV per atom) = 0.068
# - calculated volume (Å³/f.u.) = 295.4
# - total energy (eV per atom) = -4.640
# - SG = P4/mmm, No. 123
data_Np2In8Sn
_chemical_formula_sum 'Np2 In8 Sn1'
_cell_length_a 4.675
_cell_length_b 4.675
_cell_length_c 13.515
_cell_angle_alpha 90.00
_cell_angle_beta 90.00
_cell_angle_gamma 90.00
_space_group_name_H-M_alt 'P 1'
_space_group_IT_number 1
loop_
_space_group_symop_operation_xyz
'x,y,z'
loop_
_atom_site_label
_atom_site_fract_x
_atom_site_fract_y
_atom_site_fract_z
_atom_site_occupancy
Np1 0.000 0.000 0.171 1
Np2 0.000 0.000 0.829 1
In1 0.000 0.500 0.000 1
In2 0.000 0.500 0.340 1
In3 0.000 0.500 0.660 1
In4 0.500 0.000 0.000 1
In5 0.500 0.000 0.340 1
In6 0.500 0.000 0.660 1
In7 0.500 0.500 0.168 1
In8 0.500 0.500 0.832 1
Sn1 0.000 0.000 0.500 1



[9]
# NpInSn2, relaxed, DFT PBE
# - energy of formation (eV per atom) = -0.118
# - calculated volume (Å³/f.u.) = 100.0
# - total energy (eV per atom) = -6.039
# - SG = P4/mmm, No. 123
# - excess energy over the best structure of this formula in the dataset (meV/atom) = 0.0
data_NpInSn2
_chemical_formula_sum 'Np1 In1 Sn2'
_cell_length_a 4.700
_cell_length_b 4.700
_cell_length_c 4.526
_cell_angle_alpha 90.00
_cell_angle_beta 90.00
_cell_angle_gamma 90.00
_space_group_name_H-M_alt 'P 1'
_space_group_IT_number 1
loop_
_space_group_symop_operation_xyz
'x,y,z'
loop_
_atom_site_label
_atom_site_fract_x
_atom_site_fract_y
_atom_site_fract_z
_atom_site_occupancy
Np1 0.000 0.000 0.000 1
In1 0.500 0.500 0.000 1
Sn1 0.000 0.500 0.500 1
Sn2 0.500 0.000 0.500 1



[10]
# NpInSn2, relaxed, DFT PBE
# - energy of formation (eV per atom) = 0.235
# - calculated volume (Å³/f.u.) = 118.2
# - total energy (eV per atom) = -5.686
# - SG = R3m, No. 160
# - excess energy over the best structure of this formula in the dataset (meV/atom) = 353.4
data_NpInSn2
_chemical_formula_sum 'Np1 In1 Sn2'
_cell_length_a 7.024
_cell_length_b 7.024
_cell_length_c 7.024
_cell_angle_alpha 38.05
_cell_angle_beta 38.05
_cell_angle_gamma 38.05
_space_group_name_H-M_alt 'P 1'
_space_group_IT_number 1
loop_
_space_group_symop_operation_xyz
'x,y,z'
loop_
_atom_site_label
_atom_site_fract_x
_atom_site_fract_y
_atom_site_fract_z
_atom_site_occupancy
Np1 0.000 0.000 0.000 1
In1 0.826 0.826 0.826 1
Sn1 0.417 0.417 0.417 1
Sn2 0.580 0.580 0.580 1



[11]
# NpInSn2, relaxed, DFT PBE
# - energy of formation (eV per atom) = 0.191
# - calculated volume (Å³/f.u.) = 106.7
# - total energy (eV per atom) = -5.730
# - SG = Fm-3m, No. 225
# - excess energy over the best structure of this formula in the dataset (meV/atom) = 309.6
data_NpInSn2
_chemical_formula_sum 'Np1 In1 Sn2'
_cell_length_a 5.323
_cell_length_b 5.323
_cell_length_c 5.323
_cell_angle_alpha 60.00
_cell_angle_beta 60.00
_cell_angle_gamma 60.00
_space_group_name_H-M_alt 'P 1'
_space_group_IT_number 1
loop_
_space_group_symop_operation_xyz
'x,y,z'
loop_
_atom_site_label
_atom_site_fract_x
_atom_site_fract_y
_atom_site_fract_z
_atom_site_occupancy
Np1 0.000 0.000 0.000 1
In1 0.500 0.500 0.500 1
Sn1 0.250 0.250 0.250 1
Sn2 0.750 0.750 0.750 1



[12]
# Np2InSn4, relaxed, DFT PBE
# - energy of formation (eV per atom) = 0.001
# - calculated volume (Å³/f.u.) = 191.5
# - total energy (eV per atom) = -6.375
# - SG = Cmmm, No. 65
data_Np2InSn4
_chemical_formula_sum 'Np2 In1 Sn4'
_cell_length_a 6.444
_cell_length_b 6.444
_cell_length_c 4.620
_cell_angle_alpha 90.00
_cell_angle_beta 90.00
_cell_angle_gamma 93.60
_space_group_name_H-M_alt 'P 1'
_space_group_IT_number 1
loop_
_space_group_symop_operation_xyz
'x,y,z'
loop_
_atom_site_label
_atom_site_fract_x
_atom_site_fract_y
_atom_site_fract_z
_atom_site_occupancy
Np1 0.240 0.760 0.000 1
Np2 0.760 0.240 0.000 1
In1 0.000 0.000 0.500 1
Sn1 0.000 0.500 0.500 1
Sn2 0.270 0.270 0.000 1
Sn3 0.500 0.000 0.500 1
Sn4 0.730 0.730 0.000 1



- Which formula does entry 9 have?
  NpInSn2